[1]
SiTcI3: relaxed, PBE.

Results
* total DFT energy (no corrections): -3.239 eV/atom
* formation energy from raw total energies: 0.85 eV/atom
* distance to the lowest polymorph of the same formula: 0.0000 eV per atom
* magnetization: 1.24 μB per formula unit

Cell and atoms, written as CIF:
```
data_SiTcI3
_cell_length_a 5.4264
_cell_length_b 5.4264
_cell_length_c 5.4264
_cell_angle_alpha 90.00
_cell_angle_beta 90.00
_cell_angle_gamma 90.00
_space_group_name_H-M_alt 'P m -3 m'
_space_group_IT_number 221
_space_group_name_Hall '-P 4 2 3'
loop_
_atom_site_label
_atom_site_fract_x
_atom_site_fract_y
_atom_site_fract_z
_atom_site_occupancy
Si1 0.0000 0.0000 0.0000 1
Tc1 0.5000 0.5000 0.5000 1
I1 0.0000 0.5000 0.5000 1
```

[2]
Cd2InPb: relaxed, PBE.

Results
* total DFT energy (no corrections): -2.009 eV/atom
* ΔH_f (0 K): 60 meV/atom
* distance to the lowest polymorph of the same formula: 0.0358 eV per atom
* magnetization: 0.00 μB per formula unit

Cell and atoms, written as CIF:
```
data_Cd2InPb
_cell_length_a 3.2867
_cell_length_b 5.7538
_cell_length_c 5.7043
_cell_angle_alpha 90.00
_cell_angle_beta 90.36
_cell_angle_gamma 90.00
_space_group_name_H-M_alt 'P 1 2/m 1'
_space_group_IT_number 10
loop_
_space_group_symop_operation_xyz
'x,y,z'
'-x,-y,-z'
'-x,y,-z'
'x,-y,z'
loop_
_atom_site_label
_atom_site_fract_x
_atom_site_fract_y
_atom_site_fract_z
_atom_site_occupancy
Cd1 0.1919 0.0000 0.2497 1
In1 0.0000 0.5000 0.0000 1
Pb1 0.5000 0.5000 0.5000 1
```

[3]
ZrSbMo2: relaxed, PBE.

Results
* total DFT energy (no corrections): -8.518 eV/atom
* formation energy from raw total energies: 0.06 eV/atom
* magnetization: 0.00 μB per formula unit

Cell and atoms, written as CIF:
```
data_ZrSbMo2
_cell_length_a 4.0929
_cell_length_b 4.0929
_cell_length_c 8.8310
_cell_angle_alpha 90.00
_cell_angle_beta 90.00
_cell_angle_gamma 90.00
_space_group_name_H-M_alt 'I -4 m 2'
_space_group_IT_number 119
_space_group_name_Hall 'I -4 -2'
loop_
_atom_site_label
_atom_site_fract_x
_atom_site_fract_y
_atom_site_fract_z
_atom_site_occupancy
Zr1 0.0000 0.0000 0.0000 1
Sb1 0.0000 0.5000 0.2500 1
Mo1 0.0000 0.0000 0.5000 1
Mo2 0.0000 0.5000 0.7500 1
```

[4]
Ba2SiRu: relaxed, PBE.

Results
* total DFT energy (no corrections): -4.598 eV/atom
* formation energy from raw total energies: 0.04 eV/atom
* magnetization: 0.19 μB per formula unit

Cell and atoms, written as CIF:
```
data_Ba2SiRu
_cell_length_a 3.4414
_cell_length_b 3.4414
_cell_length_c 9.7272
_cell_angle_alpha 90.00
_cell_angle_beta 90.00
_cell_angle_gamma 90.00
_space_group_name_H-M_alt 'P 4 m m'
_space_group_IT_number 99
loop_
_space_group_symop_operation_xyz
'x,y,z'
'-y,x,z'
'-x,-y,z'
'y,-x,z'
'-x,y,z'
'y,x,z'
'x,-y,z'
'-y,-x,z'
loop_
_atom_site_label
_atom_site_fract_x
_atom_site_fract_y
_atom_site_fract_z
_atom_site_occupancy
Ba1 0.0000 0.0000 0.0000 1
Ba2 0.5000 0.5000 0.4262 1
Si1 0.5000 0.5000 0.7621 1
Ru1 0.0000 0.0000 0.6744 1
```

Q: The highest magnetization belongs to which entry?
A: SiTcI3